Record 1
Density functional theory data (GGA-PBE) for a geometry-optimized MnHg4Ru structure.

Computed properties:
Formation energy in eV/atom: 0.797

abc: 5.6097 5.6097 5.6097
angles: 60.00 60.00 60.00
Last column: nearest neighbours and their distance in Å.
Sites, in units of the cell vectors:
Mn  0.0000  0.0000  0.0000  12 Hg 3.29, 4 Ru 3.44
Hg  0.3752  0.3752  0.3752  6 Hg 2.80-2.81
Hg  0.3752  0.3752  0.8744  6 Hg 2.80-2.81
Hg  0.3752  0.8744  0.3752  6 Hg 2.80-2.81
Hg  0.8744  0.3752  0.3752  6 Hg 2.80-2.81
Ru  0.7500  0.7500  0.7500  12 Hg 3.29, 4 Mn 3.44


Record 2
Density functional theory data (GGA-PBE) for a geometry-optimized La2Ir structure.

Computed properties:
Formation energy in eV/atom: -0.263

abc: 18.5416 18.5416 18.5416
angles: 166.94 166.94 18.51
Last column: nearest neighbours and their distance in Å.
Sites, in units of the cell vectors:
La  0.1155  0.3655  0.7500  2 Ir 3.00, 4 La 3.06
La  0.2890  0.5390  0.7500  4 Ir 3.06
La  0.3655  0.1155  0.2500  2 Ir 3.00, 4 La 3.06
La  0.4610  0.7110  0.7500  4 Ir 3.06
La  0.5390  0.2890  0.2500  4 Ir 3.06
La  0.6345  0.8845  0.7500  2 Ir 3.00, 4 La 3.06
La  0.7110  0.4610  0.2500  4 Ir 3.06
La  0.8845  0.6345  0.2500  2 Ir 3.00, 4 La 3.06
Ir  0.0572  0.8072  0.2500  6 La 3.00-3.06
Ir  0.1928  0.9428  0.2500  6 La 3.00-3.06
Ir  0.8072  0.0572  0.7500  6 La 3.00-3.06
Ir  0.9428  0.1928  0.7500  6 La 3.00-3.06


Record 3
Density functional theory data (GGA-PBE) for a geometry-optimized K2LiFe structure.

Computed properties:
Formation energy in eV/atom: 0.842
Offset from the most stable computed form in eV/atom: 0.176

abc: 8.4051 8.4051 8.4051
angles: 90.00 90.00 90.00
Last column: nearest neighbours and their distance in Å.
Sites, in units of the cell vectors:
K  0.2500  0.2500  0.2500  4 Fe 3.64, 4 Li 3.64
K  0.2500  0.2500  0.7500  4 Fe 3.64, 4 Li 3.64
K  0.2500  0.7500  0.2500  4 Fe 3.64, 4 Li 3.64
K  0.2500  0.7500  0.7500  4 Fe 3.64, 4 Li 3.64
K  0.7500  0.2500  0.2500  4 Fe 3.64, 4 Li 3.64
K  0.7500  0.2500  0.7500  4 Fe 3.64, 4 Li 3.64
K  0.7500  0.7500  0.2500  4 Fe 3.64, 4 Li 3.64
K  0.7500  0.7500  0.7500  4 Li 3.64, 4 Fe 3.64
Li  0.0000  0.0000  0.0000  8 K 3.64
Li  0.0000  0.5000  0.5000  8 K 3.64
Li  0.5000  0.0000  0.5000  8 K 3.64
Li  0.5000  0.5000  0.0000  8 K 3.64
Fe  0.0000  0.0000  0.5000  8 K 3.64
Fe  0.0000  0.5000  0.0000  8 K 3.64
Fe  0.5000  0.0000  0.0000  8 K 3.64
Fe  0.5000  0.5000  0.5000  8 K 3.64


no.,density (Mg/m³),DOS(E_F) (states/eV per cell)
1,12.7,5.15
2,9.6,13.57
3,1.6,11.01